A plane-wave DFT calculation with PBE was carried out for La3Zn6P2 after structural relaxation.

a = 8.3565 Å, b = 8.3565 Å, c = 4.1837 Å
α = 90.00°, β = 90.00°, γ = 120.00°
Space group P-62m (No. 189)
Asymmetric unit:
La 0.0000 0.4629 0.0000 (multiplicity 3)
Zn 0.0000 0.1887 0.5000 (multiplicity 3)
Zn 0.0000 0.8197 0.0000 (multiplicity 3)
P 0.3333 0.6667 0.5000 (multiplicity 2)

## Properties
theoretical density = 5.72 Mg/m³
ΔE_f = -370 meV/atom
uncorrected energy = -3.393 eV per atom